Density functional theory data (PBE) for a relaxed structure of Sr2MgBi3Pd4.

Lattice parameters (Å, degrees): 4.774 4.774 11.045 90.00 90.00 90.00
Fractional positions:
Sr  0.500  0.000  0.236
Sr  0.000  0.500  0.764
Mg  0.500  0.500  0.500
Bi  0.500  0.000  0.870
Bi  0.000  0.500  0.130
Bi  0.000  0.000  0.500
Pd  0.500  0.500  0.000
Pd  0.000  0.000  0.000
Pd  0.000  0.500  0.376
Pd  0.500  0.000  0.624

The crystal system is tetragonal. The final energy comes out at -4.357 eV/atom. The value obtained for the density of states at the Fermi level is 0.401 states/eV per atom.

***

Density functional theory data (PBE) for a relaxed structure of TbMgBiPd.

Lattice parameters (Å, degrees): 5.097 5.097 5.097 60.00 60.00 60.00
Fractional positions:
Tb  0.000  0.000  0.000
Pd  0.750  0.750  0.750
Mg  0.500  0.500  0.500
Bi  0.250  0.250  0.250

The crystal system is cubic. The final energy comes out at -4.354 eV/atom. The value obtained for the density of states at the Fermi level is 0.385 states/eV per atom.

***

Density functional theory data (PBE) for a relaxed structure of Pm2MgBi.

Lattice parameters (Å, degrees): 4.125 4.125 11.136 79.33 79.33 60.00
Fractional positions:
Bi  0.500  0.500  0.500
Mg  0.000  0.000  0.000
Pm  0.105  0.105  0.686
Pm  0.895  0.895  0.314

For the polymorph energy (0 for the lowest one), the calculation gives 0.5390 eV/atom. The crystal system is trigonal. The value obtained for the density of states at the Fermi level is 1.200 states/eV per atom.

***

Density functional theory data (PBE) for a relaxed structure of PmMgBi2.

Lattice parameters (Å, degrees): 5.500 5.500 5.500 60.00 60.00 60.00
Fractional positions:
Mg  0.500  0.500  0.500
Pm  0.000  0.000  0.000
Bi  0.750  0.750  0.750
Bi  0.250  0.250  0.250

For the polymorph energy (0 for the lowest one), the calculation gives 0.1826 eV/atom. The crystal system is cubic. The value obtained for the density of states at the Fermi level is 0.577 states/eV per atom.

***

Density functional theory data (PBE) for a relaxed structure of PmMgBi2.

Lattice parameters (Å, degrees): 4.549 4.549 7.548 72.46 72.46 60.00
Fractional positions:
Bi  0.256  0.256  0.232
Bi  0.744  0.744  0.768
Pm  0.500  0.500  0.500
Mg  0.000  0.000  0.000

For the polymorph energy (0 for the lowest one), the calculation gives 0.1197 eV/atom. The crystal system is trigonal. The value obtained for the density of states at the Fermi level is 0.589 states/eV per atom.

***

Density functional theory data (PBE) for a relaxed structure of Pm4MgBi2.

Lattice parameters (Å, degrees): 6.306 6.828 10.620 90.00 104.01 90.00
Fractional positions:
Pm  0.940  0.250  0.152
Pm  0.469  0.485  0.741
Pm  0.469  0.015  0.741
Pm  0.852  0.250  0.530
Pm  0.148  0.750  0.470
Pm  0.531  0.515  0.259
Pm  0.060  0.750  0.848
Pm  0.531  0.985  0.259
Bi  0.628  0.750  0.001
Bi  0.297  0.250  0.449
Bi  0.703  0.750  0.551
Bi  0.372  0.250  0.999
Mg  0.051  0.750  0.174
Mg  0.949  0.250  0.826

The crystal system is monoclinic. The final energy comes out at -4.435 eV/atom. The value obtained for the density of states at the Fermi level is 1.254 states/eV per atom.

***

Density functional theory data (PBE) for a relaxed structure of Pm2MgBi.

Lattice parameters (Å, degrees): 4.145 4.145 6.884 90.00 90.00 90.00
Fractional positions:
Pm  0.000  0.000  0.254
Pm  0.000  0.000  0.746
Mg  0.500  0.500  0.000
Bi  0.500  0.500  0.500

For the polymorph energy (0 for the lowest one), the calculation gives 0.0000 eV/atom. The crystal system is tetragonal. The value obtained for the density of states at the Fermi level is 0.757 states/eV per atom.

***

Density functional theory data (PBE) for a relaxed structure of Pm2MgBi.

Lattice parameters (Å, degrees): 5.519 5.519 5.519 60.00 60.00 60.00
Fractional positions:
Pm  0.750  0.750  0.750
Pm  0.250  0.250  0.250
Mg  0.500  0.500  0.500
Bi  0.000  0.000  0.000

For the polymorph energy (0 for the lowest one), the calculation gives 0.1077 eV/atom. The crystal system is cubic. The value obtained for the density of states at the Fermi level is 1.005 states/eV per atom.

***

Density functional theory data (PBE) for a relaxed structure of Pm3MgBi2.

Lattice parameters (Å, degrees): 6.431 9.153 7.957 106.71 113.84 90.00
Fractional positions:
Pm  0.819  0.410  0.638
Pm  0.181  0.090  0.362
Pm  0.819  0.910  0.638
Pm  0.505  0.250  0.000
Pm  0.495  0.750  0.000
Pm  0.181  0.590  0.362
Bi  0.338  0.419  0.676
Bi  0.662  0.581  0.324
Bi  0.662  0.081  0.324
Bi  0.338  0.919  0.676
Mg  0.005  0.250  0.000
Mg  0.995  0.750  0.000

For the polymorph energy (0 for the lowest one), the calculation gives 0.1287 eV/atom. The crystal system is monoclinic. The value obtained for the density of states at the Fermi level is 0.982 states/eV per atom.

***

Density functional theory data (PBE) for a relaxed structure of Pm2MgBi3.

Lattice parameters (Å, degrees): 6.497 9.083 7.762 106.95 114.74 90.00
Fractional positions:
Pm  0.671  0.585  0.340
Pm  0.331  0.915  0.660
Pm  0.669  0.085  0.340
Pm  0.329  0.415  0.660
Bi  0.157  0.079  0.316
Bi  0.469  0.750  0.000
Bi  0.158  0.579  0.316
Bi  0.843  0.921  0.684
Bi  0.842  0.421  0.684
Bi  0.531  0.250  0.000
Mg  0.052  0.250  0.000
Mg  0.948  0.750  0.000

The crystal system is monoclinic. The final energy comes out at -4.347 eV/atom. The value obtained for the density of states at the Fermi level is 0.752 states/eV per atom.

***

Density functional theory data (PBE) for a relaxed structure of Pm2MgBi.

Lattice parameters (Å, degrees): 4.482 5.108 5.108 90.00 90.00 90.00
Fractional positions:
Pm  0.000  0.000  0.500
Pm  0.000  0.500  0.000
Bi  0.500  0.500  0.500
Mg  0.500  0.000  0.000

For the polymorph energy (0 for the lowest one), the calculation gives 0.0415 eV/atom. The crystal system is tetragonal. The value obtained for the density of states at the Fermi level is 1.055 states/eV per atom.

***

Density functional theory data (PBE) for a relaxed structure of PmMgBi2.

Lattice parameters (Å, degrees): 4.586 4.586 11.077 90.00 90.00 90.00
Fractional positions:
Mg  0.500  0.500  0.000
Mg  0.000  0.000  0.000
Pm  0.000  0.500  0.276
Pm  0.500  0.000  0.724
Bi  0.000  0.500  0.814
Bi  0.000  0.000  0.500
Bi  0.500  0.000  0.186
Bi  0.500  0.500  0.500

For the polymorph energy (0 for the lowest one), the calculation gives 0.0000 eV/atom. The crystal system is tetragonal. The value obtained for the density of states at the Fermi level is 0.540 states/eV per atom.

***

Q: Which value of density of states at the Fermi level does entry 2 give?
A: 0.385 states/eV per atom